[1]
Below is an optimized crystal structure of PaGaFeCo, with properties calculated at the PBE-GGA level.

The space group is F-43m (No. 216) and the conventional cell measures 6.291, 6.291 and 6.291 Å, with angles of 90.00, 90.00 and 90.00 degrees. The distinct sites, in fractional coordinates, are Pa at (0.000, 0.000, 0.000), Ga at (0.000, 0.000, 0.500), Fe at (0.250, 0.250, 0.250) and Co at (0.250, 0.250, 0.750).

For the formation energy, the calculation gives -0.2263 eV/atom.

[2]
Below is an optimized crystal structure of GaFeCoPd, with properties calculated at the PBE-GGA level.

The space group is F-43m (No. 216) and the conventional cell measures 5.965, 5.965 and 5.965 Å, with angles of 90.00, 90.00 and 90.00 degrees. The distinct sites, in fractional coordinates, are Ga at (0.000, 0.000, 0.000), Fe at (0.000, 0.000, 0.500), Co at (0.250, 0.250, 0.750) and Pd at (0.250, 0.250, 0.250).

For the formation energy, the calculation gives -0.1779 eV/atom.

[3]
Below is an optimized crystal structure of Pm2GaFeCo6, with properties calculated at the PBE-GGA level.

The space group is Fm-3m (No. 225) and the conventional cell measures 8.831, 8.831 and 8.831 Å, with angles of 90.00, 90.00 and 90.00 degrees. The distinct sites, in fractional coordinates, are Pm at (0.250, 0.250, 0.250), Ga at (0.000, 0.000, 0.000), Fe at (0.000, 0.000, 0.500) and Co at (0.000, 0.000, 0.255).

For the formation energy, the calculation gives 0.3770 eV/atom.

[4]
Below is an optimized crystal structure of Ga2FeCoRe, with properties calculated at the PBE-GGA level.

The space group is P4/mmm (No. 123) and the conventional cell measures 4.300, 4.300 and 4.322 Å, with angles of 90.00, 90.00 and 90.00 degrees. The distinct sites, in fractional coordinates, are Ga at (0.000, 0.500, 0.000), Fe at (0.000, 0.000, 0.500), Co at (0.000, 0.000, 0.000) and Re at (0.500, 0.500, 0.500).

For the formation energy, the calculation gives 0.9961 eV/atom.

[5]
Below is an optimized crystal structure of GaFeCoRh, with properties calculated at the PBE-GGA level.

The space group is F-43m (No. 216) and the conventional cell measures 5.902, 5.902 and 5.902 Å, with angles of 90.00, 90.00 and 90.00 degrees. The distinct sites, in fractional coordinates, are Ga at (0.000, 0.000, 0.000), Fe at (0.000, 0.000, 0.500), Co at (0.250, 0.250, 0.750) and Rh at (0.250, 0.250, 0.250).

For the formation energy, the calculation gives -0.2996 eV/atom.

[6]
Below is an optimized crystal structure of Ga2FeCoRh, with properties calculated at the PBE-GGA level.

The space group is P4/mmm (No. 123) and the conventional cell measures 4.613, 4.613 and 4.717 Å, with angles of 90.00, 90.00 and 90.00 degrees. The distinct sites, in fractional coordinates, are Ga at (0.000, 0.500, 0.000), Fe at (0.000, 0.000, 0.500), Co at (0.500, 0.500, 0.500) and Rh at (0.500, 0.500, 0.000).

For the formation energy, the calculation gives 0.7846 eV/atom.

[7]
Below is an optimized crystal structure of GaFe2Co4Si, with properties calculated at the PBE-GGA level.

The space group is R-3m (No. 166, hexagonal axes) and the conventional cell measures 4.0074, 4.0074 and 19.6736 Å, with angles of 90.00, 90.00 and 120.00 degrees. The distinct sites, in fractional coordinates, are Ga at (0.0000, 0.0000, 0.0000), Fe at (0.0000, 0.0000, 0.2506), Co at (0.0000, 0.0000, 0.1278), Co at (0.0000, 0.0000, 0.3782) and Si at (0.0000, 0.0000, 0.5000).

[8]
Below is an optimized crystal structure of Ga3Fe4Co8Si, with properties calculated at the PBE-GGA level.

The space group is R-3m (No. 166, hexagonal axes) and the conventional cell measures 4.0271, 4.0271 and 39.4745 Å, with angles of 90.00, 90.00 and 120.00 degrees. The distinct sites, in fractional coordinates, are Ga at (0.0000, 0.0000, 0.0000), Ga at (0.0000, 0.0000, 0.2495), Fe at (0.0000, 0.0000, 0.1250), Fe at (0.0000, 0.0000, 0.3753), Co at (0.0000, 0.0000, 0.0629), Co at (0.0000, 0.0000, 0.1861), Co at (0.0000, 0.0000, 0.3123), Co at (0.0000, 0.0000, 0.4395) and Si at (0.0000, 0.0000, 0.5000).

[9]
Below is an optimized crystal structure of GaFe4Co8Si3, with properties calculated at the PBE-GGA level.

The space group is R-3m (No. 166, hexagonal axes) and the conventional cell measures 3.9797, 3.9797 and 39.2710 Å, with angles of 90.00, 90.00 and 120.00 degrees. The distinct sites, in fractional coordinates, are Ga at (0.0000, 0.0000, 0.0000), Fe at (0.0000, 0.0000, 0.1252), Fe at (0.0000, 0.0000, 0.3754), Co at (0.0000, 0.0000, 0.0630), Co at (0.0000, 0.0000, 0.1874), Co at (0.0000, 0.0000, 0.3107), Co at (0.0000, 0.0000, 0.4396), Si at (0.0000, 0.0000, 0.2496) and Si at (0.0000, 0.0000, 0.5000).

[10]
Below is an optimized crystal structure of TbGa3FeCo, with properties calculated at the PBE-GGA level.

The space group is Cmcm (No. 63) and the conventional cell measures 5.681, 10.128 and 7.515 Å, with angles of 90.00, 90.00 and 90.00 degrees. The distinct sites, in fractional coordinates, are Tb at (0.000, 0.240, 0.250), Ga at (0.000, 0.266, 0.750), Ga at (0.247, 0.000, 0.000), Fe at (0.000, 0.046, 0.750) and Co at (0.000, 0.487, 0.750).

For the formation energy, the calculation gives -0.1573 eV/atom.

[11]
Below is an optimized crystal structure of Tb2GaFe2Co5, with properties calculated at the PBE-GGA level.

The space group is P4/mbm (No. 127) and the conventional cell measures 9.023, 9.023 and 3.622 Å, with angles of 90.00, 90.00 and 90.00 degrees. The distinct sites, in fractional coordinates, are Tb at (0.184, 0.316, 0.000), Ga at (0.000, 0.000, 0.000), Fe at (0.114, 0.614, 0.000), Co at (0.000, 0.500, 0.500) and Co at (0.057, 0.792, 0.500).

For the formation energy, the calculation gives -0.0353 eV/atom.

[12]
Below is an optimized crystal structure of TmGa3FeCo, with properties calculated at the PBE-GGA level.

The space group is Cmcm (No. 63) and the conventional cell measures 7.625, 10.064 and 5.442 Å, with angles of 90.00, 90.00 and 90.00 degrees. The distinct sites, in fractional coordinates, are Tm at (0.000, 0.206, 0.250), Ga at (0.000, 0.303, 0.750), Ga at (0.245, 0.000, 0.000), Fe at (0.000, 0.073, 0.750) and Co at (0.000, 0.467, 0.250).

For the formation energy, the calculation gives -0.1714 eV/atom.

Summary of final energy in eV/atom
-7.249; -6.125; -5.986; -5.818; -6.786; -5.010; -7.033; -6.844; -7.168; -5.037; -6.509; -5.025
(order as listed above)